No. 1
A plane-wave DFT calculation with PBE-GGA was carried out for a relaxed DyTi2Pd9 crystal.

a = 3.9947 Å, b = 3.9947 Å, c = 11.9581 Å
α = 90.00°, β = 90.00°, γ = 90.00°
Element x y z (fractional)
Dy1 0.0000 0.0000 0.0000
Ti1 0.0000 0.0000 0.3357
Ti2 0.0000 0.0000 0.6643
Pd1 0.0000 0.5000 0.1805
Pd2 0.0000 0.5000 0.5000
Pd3 0.0000 0.5000 0.8195
Pd4 0.5000 0.0000 0.1805
Pd5 0.5000 0.0000 0.5000
Pd6 0.5000 0.0000 0.8195
Pd7 0.5000 0.5000 0.0000
Pd8 0.5000 0.5000 0.3397
Pd9 0.5000 0.5000 0.6603

Calculated values
- M_tot: 0.000 μB/atom
- E_tot: -6.3244 eV/atom
- Space group: P4/mmm

No. 2
A plane-wave DFT calculation with PBE-GGA was carried out for a relaxed Rb2RuBr4F2 crystal.

a = 7.0833 Å, b = 7.0833 Å, c = 7.0872 Å
α = 117.48°, β = 117.48°, γ = 65.58°
Element x y z (fractional)
Rb1 0.2398 0.2398 0.2969
Rb2 0.7602 0.7602 0.7031
Ru1 0.5000 0.5000 0.0000
Br1 0.2254 0.6957 0.2052
Br2 0.3043 0.7746 0.7948
Br3 0.6957 0.2254 0.2052
Br4 0.7746 0.3043 0.7948
F1 0.3120 0.3120 0.7593
F2 0.6880 0.6880 0.2407

Calculated values
- M_tot: 0.222 μB/atom
- Space group: C2/m
- E_form (uncorrected): -1.3999 eV/atom

No. 3
A plane-wave DFT calculation with PBE-GGA was carried out for a relaxed NbCdCoNi crystal.

a = 4.3638 Å, b = 4.3638 Å, c = 4.3638 Å
α = 60.00°, β = 60.00°, γ = 60.00°
Element x y z (fractional)
Nb1 0.0000 0.0000 0.0000
Cd1 0.5000 0.5000 0.5000
Co1 0.7500 0.7500 0.7500
Ni1 0.2500 0.2500 0.2500

Calculated values
- M_tot: 0.340 μB/atom
- E_tot: -5.9276 eV/atom
- Space group: F-43m

No. 4
A plane-wave DFT calculation with PBE-GGA was carried out for a relaxed RbCuAsPt2 crystal.

a = 4.9647 Å, b = 4.9647 Å, c = 4.5170 Å
α = 90.00°, β = 90.00°, γ = 90.00°
Element x y z (fractional)
Rb1 0.0000 0.0000 0.0000
Cu1 0.5000 0.5000 0.5000
As1 0.5000 0.5000 0.0000
Pt1 0.0000 0.5000 0.5000
Pt2 0.5000 0.0000 0.5000

Calculated values
- M_tot: 0.000 μB/atom
- E_tot: -3.8638 eV/atom
- Space group: P4/mmm

No. 5
A plane-wave DFT calculation with PBE-GGA was carried out for a relaxed K3PbCl crystal.

a = 6.0139 Å, b = 6.0139 Å, c = 6.0139 Å
α = 90.00°, β = 90.00°, γ = 90.00°
Element x y z (fractional)
K1 0.0000 0.0000 0.5000
K2 0.0000 0.5000 0.0000
K3 0.5000 0.0000 0.0000
Pb1 0.5000 0.5000 0.5000
Cl1 0.0000 0.0000 0.0000

Calculated values
- E above lowest polymorph: 0 meV per atom
- M_tot: 0.033 μB/atom
- Space group: Pm-3m
- E_form (uncorrected): -0.6932 eV/atom

No. 6
A plane-wave DFT calculation with PBE-GGA was carried out for a relaxed U2CuPd9 crystal.

a = 4.1130 Å, b = 4.1130 Å, c = 11.8782 Å
α = 90.00°, β = 90.00°, γ = 90.00°
Element x y z (fractional)
U1 0.0000 0.0000 0.1805
U2 0.0000 0.0000 0.8195
Cu1 0.0000 0.0000 0.5000
Pd1 0.0000 0.5000 0.0000
Pd2 0.0000 0.5000 0.3409
Pd3 0.0000 0.5000 0.6591
Pd4 0.5000 0.0000 0.0000
Pd5 0.5000 0.0000 0.3409
Pd6 0.5000 0.0000 0.6591
Pd7 0.5000 0.5000 0.1702
Pd8 0.5000 0.5000 0.5000
Pd9 0.5000 0.5000 0.8298

Calculated values
- M_tot: 0.244 μB/atom
- E_tot: -6.5204 eV/atom
- Space group: P4/mmm